AcHg3F8 PBE-GGA optimized geometry; final energy = -3.895 eV/atom; calculated density = 8.1 g/cm3; magnetization = 0.000 μB per formula unit
1.0
-1.721 -5.133 -2.209
1.252 -2.606 5.082
-5.446 1.023 1.866
Ac Hg F
1 3 8
Cartesian
0.000 0.000 0.000
-0.234 -3.870 1.437
-3.583 -2.055 -0.171
-2.097 -0.792 3.474
-4.204 -1.164 2.118
-0.848 -2.982 3.729
-2.338 -4.247 0.076
-4.439 -5.041 3.557
-1.710 -5.553 2.622
-5.066 -3.735 1.011
-3.577 -2.469 4.664
-1.476 -1.676 1.183